Compound: LaAsPt2
Source: Alexandria
Functional: PBE
Structure: optimized geometry

**Total moment**: 0.00 μB/f.u.
**DOS(E_F)**: 1.44 states/eV/cell
**DFT total energy**: -6.28 eV/atom
**Volume**: 21.88 Å³ per atom

The structure in POSCAR format:
```
LaAsPt2
1.0
4.5448 -1.9617 0.0000
4.5448 1.9617 0.0000
-2.6302 0.0000 4.9078
La As Pt
1 1 2
direct
0.0000 0.0000 0.0000 La
0.2038 0.2038 0.6279 As
0.4962 0.4962 0.4426 Pt
0.7836 0.7836 0.3834 Pt
```

***

Compound: La2AsPt2
Source: Alexandria
Functional: PBE
Structure: optimized geometry

**Total moment**: 0.00 μB/f.u.
**DOS(E_F)**: 6.23 states/eV/cell
**DFT total energy**: -6.42 eV/atom
**Distance to the lowest polymorph of the same formula**: 0.0 meV/atom
**Volume**: 23.85 Å³ per atom

The structure in POSCAR format:
```
La2AsPt2
1.0
7.6816 0.0000 0.0000
0.0000 7.6816 0.0000
0.0000 0.0000 4.0414
La As Pt
4 2 4
direct
0.1819 0.3181 0.0000 La
0.3181 0.8181 0.0000 La
0.6819 0.1819 0.0000 La
0.8181 0.6819 0.0000 La
0.0000 0.0000 0.5000 As
0.5000 0.5000 0.5000 As
0.1263 0.6263 0.5000 Pt
0.3737 0.1263 0.5000 Pt
0.6263 0.8737 0.5000 Pt
0.8737 0.3737 0.5000 Pt
```

***

Compound: LaAs2Pt
Source: Alexandria
Functional: PBE
Structure: optimized geometry

**Total moment**: 0.00 μB/f.u.
**DOS(E_F)**: 1.85 states/eV/cell
**DFT total energy**: -5.66 eV/atom
**Volume**: 22.08 Å³ per atom

The structure in POSCAR format:
```
LaAs2Pt
1.0
3.7906 0.0000 0.0000
0.0000 3.7906 0.0000
0.0000 0.0000 6.1470
La As Pt
1 2 1
direct
0.0000 0.0000 0.0000 La
0.0000 0.0000 0.4944 As
0.5000 0.5000 0.7863 As
0.5000 0.5000 0.3719 Pt
```